Tm2URu2 | GGA-PBE | optimized geometry

## Properties
Symmetry = C2/c (15)
V = 219 Å³ per cell
Final energy = -40.81 eV per formula unit
Formation energy from the elements = -406 meV per atom

Cell: 5.769 5.769 7.697 Å, 80.94 80.94 60.51°
Site moments in Bohr magnetons follow the coordinates.
Fractional coordinates of all 10 atoms:
Ru  0.991  0.259  0.987  -0.06
Ru  0.009  0.741  0.013  -0.06
Ru  0.741  0.009  0.513  -0.06
Ru  0.259  0.991  0.487  -0.06
Tm  0.785  0.518  0.348  0.09
Tm  0.215  0.482  0.652  0.09
Tm  0.482  0.215  0.152  0.09
Tm  0.518  0.785  0.848  0.09
U  0.152  0.848  0.250  0.84
U  0.848  0.152  0.750  0.84

---

Y2TmU2Ru5 | GGA-PBE | optimized geometry

## Properties
Symmetry = P4/mbm (127)
V = 402 Å³ per cell
Final energy = -89.28 eV per formula unit
Formation energy from the elements = -293 meV per atom

Cell: 3.581 10.590 10.590 Å, 90.00 90.00 90.00°
Fractional coordinates of all 20 atoms:
Ru  0.500  0.554  0.711
Ru  0.500  0.711  0.446
Ru  0.500  0.289  0.554
Ru  0.500  0.000  0.500
Ru  0.500  0.946  0.211
Ru  0.500  0.211  0.054
Ru  0.500  0.789  0.946
Ru  0.500  0.446  0.289
Ru  0.500  0.054  0.789
Ru  0.500  0.500  0.000
U  0.000  0.135  0.635
U  0.000  0.365  0.135
U  0.000  0.635  0.865
U  0.000  0.865  0.365
Y  0.000  0.826  0.674
Y  0.000  0.174  0.326
Y  0.000  0.674  0.174
Y  0.000  0.326  0.826
Tm  0.000  0.500  0.500
Tm  0.000  0.000  0.000